DFT (PBE) results for an optimized crystal structure of SrCaY2Hg4.

The calculation puts the energy at -65.37 eV per cell. The value obtained for the total magnetic moment is 0.00 μB/cell.

Unit cell a=5.3614 b=5.3614 c=26.4249 alpha=90.00 beta=90.00 gamma=120.00
Space group R-3m (No. 166, hexagonal axes)
Asymmetric unit:
1 Sr 0.0000 0.0000 0.0000 (multiplicity 3)
2 Ca 0.0000 0.0000 0.5000 (multiplicity 3)
3 Y 0.0000 0.0000 0.2481 (multiplicity 6)
4 Hg 0.0000 0.0000 0.1265 (multiplicity 6)
5 Hg 0.0000 0.0000 0.3780 (multiplicity 6)

=====

DFT (PBE) results for an optimized crystal structure of ThCo2Si4.

The calculation puts the energy at -190.50 eV per cell. As for the formation energy from raw total energies: -0.6144 eV/atom. The value obtained for the total magnetic moment is 0.00 μB/cell.

Unit cell a=16.063 b=3.985 c=6.469 alpha=90.00 beta=90.00 gamma=90.00
Space group Pnma (No. 62)
Asymmetric unit:
1 Th 0.113 0.250 0.005 (multiplicity 4)
2 Co 0.039 0.750 0.330 (multiplicity 4)
3 Co 0.228 0.250 0.541 (multiplicity 4)
4 Si 0.037 0.750 0.717 (multiplicity 4)
5 Si 0.091 0.250 0.494 (multiplicity 4)
6 Si 0.188 0.750 0.337 (multiplicity 4)
7 Si 0.205 0.750 0.726 (multiplicity 4)